Compound: Ce2InSi3Pd4
Source: Alexandria via LeMat-Bulk
Functional: GGA-PBE
Structure: relaxed

Unit cell a=4.2616 b=4.2616 c=10.4426 alpha=90.00 beta=90.00 gamma=90.00
Closest atoms and distances in Å follow each position.
Element x y z (fractional)
Ce: 0.0000 0.5000 0.2396  8 Pd 3.23-3.29, 6 Si 3.25-3.45, 2 In 3.45
Ce: 0.5000 0.0000 0.7604  8 Pd 3.23-3.29, 6 Si 3.25-3.45, 2 In 3.45
In: 0.0000 0.0000 0.5000  4 Pd 2.64
Si: 0.0000 0.5000 0.8776  5 Pd 2.39-2.48
Si: 0.5000 0.0000 0.1224  5 Pd 2.39-2.48
Si: 0.5000 0.5000 0.5000  4 Pd 2.64
Pd: 0.0000 0.0000 0.0000  4 Si 2.48
Pd: 0.0000 0.5000 0.6490  3 Si 2.39-2.64, 2 In 2.64
Pd: 0.5000 0.0000 0.3510  3 Si 2.39-2.64, 2 In 2.64
Pd: 0.5000 0.5000 0.0000  4 Si 2.48

Computed properties:
- density (g/cm³) = 7.9
- total energy (eV for the cell shown) = -59.421
- E_form (uncorrected) (eV/f.u.) = -7.8
- N(E_F) (states/eV/cell) = 12.9
- space group = P-4m2